(1)
# HoAl2Ga6 (GGA-PBE, relaxed)
data_HoAl2Ga6
_chemical_formula_sum 'Ho2 Al4 Ga12'
_symmetry_space_group_name_H-M 'C 1 2/m 1'
_symmetry_Int_Tables_number 12
_cell_length_a 11.901
_cell_length_b 4.054
_cell_length_c 8.630
_cell_angle_alpha 90.00
_cell_angle_beta 100.87
_cell_angle_gamma 90.00
loop_
_symmetry_equiv_pos_as_xyz
'x,y,z'
'-x,-y,-z'
'-x,y,-z'
'x,-y,z'
'x+1/2,y+1/2,z'
'-x+1/2,-y+1/2,-z'
'-x+1/2,y+1/2,-z'
'x+1/2,-y+1/2,z'
loop_
_atom_site_label
_atom_site_fract_x
_atom_site_fract_y
_atom_site_fract_z
_atom_site_occupancy
Ho1 0.000 0.000 0.000 1
Al1 0.199 0.000 0.580 1
Ga1 0.000 0.000 0.348 1
Ga2 0.193 0.500 0.060 1
Ga3 0.200 0.000 0.267 1
# - total magnetic moment (μB/cell) = 0.0
# - D(E_F) (states/eV per cell) = 8.08
# - energy relative to the elements (eV/atom) = 0.019

***

(2)
# Ho2AlGa (GGA-PBE, relaxed)
data_Ho2AlGa
_chemical_formula_sum 'Ho6 Al3 Ga3'
_symmetry_space_group_name_H-M 'R -3 m'
_symmetry_Int_Tables_number 166
_symmetry_space_group_name_Hall '-R 3 2"'
_cell_length_a 3.4235
_cell_length_b 3.4235
_cell_length_c 31.6273
_cell_angle_alpha 90.00
_cell_angle_beta 90.00
_cell_angle_gamma 120.00
loop_
_atom_site_label
_atom_site_fract_x
_atom_site_fract_y
_atom_site_fract_z
_atom_site_occupancy
Ho1 0.0000 0.0000 0.0969 1
Al1 0.0000 0.0000 0.0000 1
Ga1 0.0000 0.0000 0.5000 1
# - total magnetic moment (μB/cell) = 0.0
# - D(E_F) (states/eV per cell) = 9.83
# - energy relative to the elements (eV/atom) = 0.067

***

(3)
# HoAl4Ga (GGA-PBE, relaxed)
data_HoAl4Ga
_chemical_formula_sum 'Ho2 Al8 Ga2'
_symmetry_space_group_name_H-M 'C m m m'
_symmetry_Int_Tables_number 65
_symmetry_space_group_name_Hall '-C 2 2'
_cell_length_a 4.187
_cell_length_b 12.531
_cell_length_c 4.226
_cell_angle_alpha 90.00
_cell_angle_beta 90.00
_cell_angle_gamma 90.00
loop_
_atom_site_label
_atom_site_fract_x
_atom_site_fract_y
_atom_site_fract_z
_atom_site_occupancy
Ho1 0.000 0.000 0.000 1
Al1 0.000 0.174 0.500 1
Al2 0.000 0.323 0.000 1
Ga1 0.000 0.500 0.500 1
# - total magnetic moment (μB/cell) = 0.0
# - D(E_F) (states/eV per cell) = 4.37
# - energy relative to the elements (eV/atom) = -0.254